No. 1
# RbTlHgSe PBE optimized geometry
# - Space-group type: F-43m (216)
# - Formation energy (no corrections): -46.7 kJ/mol of atoms
# - Calculated volume: 32.93 A^3/atom
# - E above lowest polymorph: 0.0068 eV per atom
data_RbTlHgSe
_cell_length_a 5.711
_cell_length_b 5.711
_cell_length_c 5.711
_cell_angle_alpha 60.00
_cell_angle_beta 60.00
_cell_angle_gamma 60.00
_space_group_name_H-M_alt 'P 1'
_space_group_IT_number 1
loop_
_space_group_symop_operation_xyz
'x,y,z'
loop_
_atom_site_label
_atom_site_fract_x
_atom_site_fract_y
_atom_site_fract_z
Rb1 0.000 0.000 0.000
Tl1 0.500 0.500 0.500
Hg1 0.250 0.250 0.250
Se1 0.750 0.750 0.750

***

No. 2
# Rb2TmHg2Se4 PBE optimized geometry
# - Space-group type: C2/m (12)
# - Formation energy (no corrections): -93.1 kJ/mol of atoms
# - Calculated volume: 30.73 A^3/atom
# - Density of states at the Fermi level: 3.67 states/eV per cell
data_Rb2TmHg2Se4
_cell_length_a 8.623
_cell_length_b 8.623
_cell_length_c 8.572
_cell_angle_alpha 112.70
_cell_angle_beta 112.70
_cell_angle_gamma 28.23
_space_group_name_H-M_alt 'P 1'
_space_group_IT_number 1
loop_
_space_group_symop_operation_xyz
'x,y,z'
loop_
_atom_site_label
_atom_site_fract_x
_atom_site_fract_y
_atom_site_fract_z
Rb1 0.127 0.127 0.070
Rb2 0.873 0.873 0.930
Tm1 0.000 0.000 0.500
Hg1 0.311 0.311 0.481
Hg2 0.689 0.689 0.519
Se1 0.182 0.182 0.724
Se2 0.480 0.480 0.716
Se3 0.520 0.520 0.284
Se4 0.818 0.818 0.276

***

No. 3
# Rb3U3HgSe8 PBE optimized geometry
# - Space-group type: R-3m (166)
# - Formation energy (no corrections): -103.8 kJ/mol of atoms
# - Calculated volume: 33.32 A^3/atom
# - Density of states at the Fermi level: 16.98 states/eV per cell
data_Rb3U3HgSe8
_cell_length_a 9.414
_cell_length_b 9.414
_cell_length_c 9.414
_cell_angle_alpha 53.47
_cell_angle_beta 53.47
_cell_angle_gamma 53.47
_space_group_name_H-M_alt 'P 1'
_space_group_IT_number 1
loop_
_space_group_symop_operation_xyz
'x,y,z'
loop_
_atom_site_label
_atom_site_fract_x
_atom_site_fract_y
_atom_site_fract_z
Rb1 0.000 0.500 0.500
Rb2 0.500 0.000 0.500
Rb3 0.500 0.500 0.000
U1 0.000 0.000 0.500
U2 0.000 0.500 0.000
U3 0.500 0.000 0.000
Hg1 0.500 0.500 0.500
Se1 0.212 0.741 0.741
Se2 0.232 0.232 0.232
Se3 0.259 0.259 0.788
Se4 0.259 0.788 0.259
Se5 0.741 0.212 0.741
Se6 0.741 0.741 0.212
Se7 0.768 0.768 0.768
Se8 0.788 0.259 0.259

***

No. 4
# RbUHgSe3 PBE optimized geometry
# - Space-group type: C2/c (15)
# - Formation energy (no corrections): -76.1 kJ/mol of atoms
# - Calculated volume: 35.94 A^3/atom
# - Density of states at the Fermi level: 11.22 states/eV per cell
data_RbUHgSe3
_cell_length_a 9.928
_cell_length_b 9.928
_cell_length_c 7.158
_cell_angle_alpha 97.39
_cell_angle_beta 97.39
_cell_angle_gamma 138.93
_space_group_name_H-M_alt 'P 1'
_space_group_IT_number 1
loop_
_space_group_symop_operation_xyz
'x,y,z'
loop_
_atom_site_label
_atom_site_fract_x
_atom_site_fract_y
_atom_site_fract_z
Rb1 0.215 0.785 0.750
Rb2 0.785 0.215 0.250
U1 0.055 0.945 0.250
U2 0.945 0.055 0.750
Hg1 0.384 0.616 0.250
Hg2 0.616 0.384 0.750
Se1 0.191 0.280 0.519
Se2 0.196 0.804 0.250
Se3 0.280 0.191 0.019
Se4 0.720 0.809 0.981
Se5 0.804 0.196 0.750
Se6 0.809 0.720 0.481

***

No. 5
# Rb2UHgSe5 PBE optimized geometry
# - Space-group type: Cmc2_1 (36)
# - Formation energy (no corrections): -85.6 kJ/mol of atoms
# - Calculated volume: 34.70 A^3/atom
# - Density of states at the Fermi level: 7.73 states/eV per cell
data_Rb2UHgSe5
_cell_length_a 10.535
_cell_length_b 10.535
_cell_length_c 14.368
_cell_angle_alpha 90.00
_cell_angle_beta 90.00
_cell_angle_gamma 156.94
_space_group_name_H-M_alt 'P 1'
_space_group_IT_number 1
loop_
_space_group_symop_operation_xyz
'x,y,z'
loop_
_atom_site_label
_atom_site_fract_x
_atom_site_fract_y
_atom_site_fract_z
Rb1 0.119 0.881 0.500
Rb2 0.128 0.872 0.128
Rb3 0.872 0.128 0.628
Rb4 0.881 0.119 0.000
U1 0.206 0.794 0.827
U2 0.794 0.206 0.327
Hg1 0.444 0.556 0.244
Hg2 0.556 0.444 0.744
Se1 0.075 0.925 0.861
Se2 0.290 0.710 0.451
Se3 0.299 0.701 0.199
Se4 0.331 0.669 0.817
Se5 0.499 0.501 0.087
Se6 0.501 0.499 0.587
Se7 0.669 0.331 0.317
Se8 0.701 0.299 0.699
Se9 0.710 0.290 0.951
Se10 0.925 0.075 0.361

***

No. 6
# Rb4U3HgSe8 PBE optimized geometry
# - Space-group type: R-3m (166)
# - Formation energy (no corrections): -105.1 kJ/mol of atoms
# - Calculated volume: 32.50 A^3/atom
# - Density of states at the Fermi level: 20.21 states/eV per cell
data_Rb4U3HgSe8
_cell_length_a 9.361
_cell_length_b 9.361
_cell_length_c 9.361
_cell_angle_alpha 55.54
_cell_angle_beta 55.54
_cell_angle_gamma 55.54
_space_group_name_H-M_alt 'P 1'
_space_group_IT_number 1
loop_
_space_group_symop_operation_xyz
'x,y,z'
loop_
_atom_site_label
_atom_site_fract_x
_atom_site_fract_y
_atom_site_fract_z
Rb1 0.000 0.000 0.000
Rb2 0.000 0.500 0.500
Rb3 0.500 0.000 0.500
Rb4 0.500 0.500 0.000
U1 0.000 0.000 0.500
U2 0.000 0.500 0.000
U3 0.500 0.000 0.000
Hg1 0.500 0.500 0.500
Se1 0.209 0.742 0.742
Se2 0.232 0.232 0.232
Se3 0.258 0.258 0.791
Se4 0.258 0.791 0.258
Se5 0.742 0.209 0.742
Se6 0.742 0.742 0.209
Se7 0.768 0.768 0.768
Se8 0.791 0.258 0.258

***

Question: The lowest calculated volume belongs to which entry?
Answer: Rb2TmHg2Se4

***

Repeat the fifth record exactly.
# Rb2UHgSe5 PBE optimized geometry
# - Space-group type: Cmc2_1 (36)
# - Formation energy (no corrections): -85.6 kJ/mol of atoms
# - Calculated volume: 34.70 A^3/atom
# - Density of states at the Fermi level: 7.73 states/eV per cell
data_Rb2UHgSe5
_cell_length_a 10.535
_cell_length_b 10.535
_cell_length_c 14.368
_cell_angle_alpha 90.00
_cell_angle_beta 90.00
_cell_angle_gamma 156.94
_space_group_name_H-M_alt 'P 1'
_space_group_IT_number 1
loop_
_space_group_symop_operation_xyz
'x,y,z'
loop_
_atom_site_label
_atom_site_fract_x
_atom_site_fract_y
_atom_site_fract_z
Rb1 0.119 0.881 0.500
Rb2 0.128 0.872 0.128
Rb3 0.872 0.128 0.628
Rb4 0.881 0.119 0.000
U1 0.206 0.794 0.827
U2 0.794 0.206 0.327
Hg1 0.444 0.556 0.244
Hg2 0.556 0.444 0.744
Se1 0.075 0.925 0.861
Se2 0.290 0.710 0.451
Se3 0.299 0.701 0.199
Se4 0.331 0.669 0.817
Se5 0.499 0.501 0.087
Se6 0.501 0.499 0.587
Se7 0.669 0.331 0.317
Se8 0.701 0.299 0.699
Se9 0.710 0.290 0.951
Se10 0.925 0.075 0.361

***

Question: The highest formation energy (no corrections) belongs to which entry?
Answer: RbTlHgSe